Compound: TlHgB
Source: the Alexandria database
Functional: PBE-GGA
Structure: relaxed

Calculated values
- final energy (eV/atom) = -2.580
- space-group type = P1 (1)
- formation enthalpy at 0 K (eV per atom) = 0.535

Cell lengths 4.1835, 5.8476, 6.5961 Å; angles 113.07, 90.60, 90.51 degrees
Closest atoms and distances in Å follow each position.
Fractional coordinates of all 6 atoms:
1 Tl 0.0000 0.0000 0.0000  2 B 3.14-3.20, 2 Hg 3.25-3.50, 2 Tl 3.45
2 Tl 0.4954 0.5697 0.0748  1 B 3.01, 1 Hg 3.31
3 Hg 0.4982 0.0758 0.6029  2 B 2.15-2.16
4 Hg 0.9956 0.4914 0.4576  4 B 2.32-2.49
5 B 0.4975 0.4358 0.5846  1 B 1.56
6 B 0.5004 0.7177 0.6240  1 B 1.56